i) Ca2Fe2Hg | PBE | optimized geometry

Lattice parameters (Å, degrees): 8.5507 8.5507 3.4077 90.00 90.00 90.00
Fractional coordinates of all 10 atoms:
Ca  0.1902  0.3098  0.0000
Ca  0.3098  0.8098  0.0000
Ca  0.6902  0.1902  0.0000
Ca  0.8098  0.6902  0.0000
Fe  0.0892  0.5892  0.5000
Fe  0.4108  0.0892  0.5000
Fe  0.5892  0.9108  0.5000
Fe  0.9108  0.4108  0.5000
Hg  0.0000  0.0000  0.0000
Hg  0.5000  0.5000  0.0000

Summary:
Magnetization = 5.20 μB/f.u.

ii) Ca2Fe2Hg | PBE | optimized geometry

Lattice parameters (Å, degrees): 9.9917 9.9917 9.9917 161.11 161.11 26.84
Fractional coordinates of all 5 atoms:
Ca  0.1220  0.1220  0.0000
Ca  0.8780  0.8780  0.0000
Fe  0.2500  0.7500  0.5000
Fe  0.7500  0.2500  0.5000
Hg  0.5000  0.5000  0.0000

Summary:
Magnetization = 0.00 μB/f.u.

It is ii) that is most stable; the runner-up trails by 0.160 eV/atom.

i) CaFeIN2 | PBE | optimized geometry

Lattice parameters (Å, degrees): 4.0016 4.0016 5.3096 90.00 90.00 90.00
Fractional coordinates of all 5 atoms:
Ca  0.0000  0.0000  0.0000
Fe  0.5000  0.5000  0.5000
I  0.5000  0.5000  0.0000
N  0.0000  0.5000  0.5000
N  0.5000  0.0000  0.5000

Summary:
Magnetization = 2.41 μB/f.u.

ii) CaFeIN2 | PBE | optimized geometry

Lattice parameters (Å, degrees): 4.4932 4.4932 6.3283 90.00 90.00 90.00
Fractional coordinates of all 5 atoms:
Ca  0.0000  0.0000  0.0000
Fe  0.5000  0.5000  0.5000
I  0.0000  0.0000  0.5000
N  0.0000  0.5000  0.0000
N  0.5000  0.0000  0.0000

Summary:
Magnetization = 7.28 μB/f.u.

It is i) that is most stable; the runner-up trails by 1.026 eV/atom.